Record 1
This record from Alexandria via LeMat-Bulk describes a geometry-optimized SrCdRu structure. The functional is GGA-PBE.

Unit cell a=4.6857 b=4.6857 c=4.0061 alpha=90.00 beta=90.00 gamma=120.00
With the nearest neighbours (Å) after each atom.
Atoms (fractional coordinates):
Cd 0.0000 0.0000 0.1667  3 Ru 2.71
Sr 0.3333 0.6667 0.6668  6 Ru 3.37, 6 Cd 3.37
Ru 0.6667 0.3333 0.1665  3 Cd 2.71



Record 2
This record from Alexandria via LeMat-Bulk describes a geometry-optimized Sr2CdRu2 structure. The functional is GGA-PBE.

Unit cell a=7.1662 b=7.1662 c=4.8485 alpha=90.00 beta=90.00 gamma=90.00
With the nearest neighbours (Å) after each atom.
Atoms (fractional coordinates):
Ru 0.1160 0.3840 0.0000  1 Ru 2.35
Cd 0.5000 0.5000 0.0000  4 Ru 2.87
Cd 0.0000 0.0000 0.0000  4 Ru 2.87
Sr 0.3220 0.1781 0.5000  6 Ru 3.20-3.24, 4 Cd 3.58
Ru 0.3840 0.8840 0.0000  1 Ru 2.35
Sr 0.6780 0.8220 0.5000  6 Ru 3.20-3.24, 4 Cd 3.58
Sr 0.8220 0.3220 0.5000  6 Ru 3.20-3.24, 4 Cd 3.58
Ru 0.8840 0.6160 0.0000  1 Ru 2.35
Sr 0.1781 0.6780 0.5000  6 Ru 3.20-3.24, 4 Cd 3.58
Ru 0.6160 0.1160 0.0000  1 Ru 2.35



Record 3
This record from Alexandria via LeMat-Bulk describes a geometry-optimized SrCdRu structure. The functional is GGA-PBE.

Unit cell a=5.0008 b=5.0008 c=5.0008 alpha=60.00 beta=60.00 gamma=60.00
With the nearest neighbours (Å) after each atom.
Atoms (fractional coordinates):
Cd 0.0000 0.0000 0.0000  4 Sr 3.06
Ru 0.5000 0.5000 0.5000  4 Sr 3.06
Sr 0.7500 0.7500 0.7500  4 Cd 3.06, 4 Ru 3.06



Record 4
This record from Alexandria via LeMat-Bulk describes a geometry-optimized SrCdRu structure. The functional is GGA-PBE.

Unit cell a=4.8005 b=4.8005 c=4.8005 alpha=60.00 beta=60.00 gamma=60.00
With the nearest neighbours (Å) after each atom.
Atoms (fractional coordinates):
Ru 0.7500 0.7500 0.7500  4 Cd 2.94, 4 Sr 2.94
Sr 0.0000 0.0000 0.0000  4 Ru 2.94
Cd 0.5000 0.5000 0.5000  4 Ru 2.94



Record 5
This record from Alexandria via LeMat-Bulk describes a geometry-optimized Sr2CdRu structure. The functional is GGA-PBE.

Unit cell a=3.7060 b=3.6677 c=9.0430 alpha=66.12 beta=90.00 gamma=90.00
With the nearest neighbours (Å) after each atom.
Atoms (fractional coordinates):
Sr 0.0000 0.4618 0.5386  4 Ru 3.14, 1 Sr 3.50
Ru 0.5000 0.7500 0.7500  8 Sr 3.14
Sr 0.0000 0.0382 0.9614  4 Ru 3.14, 1 Sr 3.50
Cd 0.5000 0.2500 0.2500  8 Sr 3.53, 4 Cd 3.67-3.71



Record 6
This record from Alexandria via LeMat-Bulk describes a geometry-optimized Sr2CdRu structure. The functional is GGA-PBE.

Unit cell a=6.5651 b=6.5651 c=6.5651 alpha=146.85 beta=131.94 gamma=59.63
With the nearest neighbours (Å) after each atom.
Atoms (fractional coordinates):
Ru 0.2709 0.7709 0.5000  2 Cd 2.74
Sr 0.0419 0.0419 0.0000  2 Ru 3.21, 4 Cd 3.44, 2 Sr 3.51
Sr 0.7412 0.2412 0.5000  4 Ru 3.28, 2 Sr 3.51, 2 Cd 3.55
Cd 0.4460 0.4460 0.0000  2 Ru 2.74



Record 7
This record from Alexandria via LeMat-Bulk describes a geometry-optimized Sr2CdRu structure. The functional is GGA-PBE.

Unit cell a=10.0826 b=10.0826 c=10.0826 alpha=21.70 beta=21.70 gamma=21.70
With the nearest neighbours (Å) after each atom.
Atoms (fractional coordinates):
Sr 0.0144 0.0144 0.0144  3 Ru 2.99
Ru 0.7500 0.7500 0.7500  6 Sr 2.99
Sr 0.4856 0.4856 0.4856  3 Ru 2.99
Cd 0.2500 0.2500 0.2500  6 Sr 3.62, 6 Cd 3.80



Record 8
This record from Alexandria via LeMat-Bulk describes a geometry-optimized Sr2CdRu structure. The functional is GGA-PBE.

Unit cell a=3.7377 b=3.7377 c=8.7150 alpha=90.00 beta=90.00 gamma=90.00
With the nearest neighbours (Å) after each atom.
Atoms (fractional coordinates):
Ru 0.5000 0.5000 0.6831  4 Cd 2.82, 1 Sr 3.08
Cd 0.0000 0.0000 0.5687  4 Ru 2.82, 1 Sr 3.04
Sr 0.0000 0.0000 0.9181  1 Cd 3.04, 4 Ru 3.34
Sr 0.5000 0.5000 0.3301  1 Ru 3.08, 4 Cd 3.36



Record 9
This record from Alexandria via LeMat-Bulk describes a geometry-optimized Sr2CdRu structure. The functional is GGA-PBE.

Unit cell a=10.6577 b=10.6577 c=7.9955 alpha=48.20 beta=48.20 gamma=90.00
With the nearest neighbours (Å) after each atom.
Atoms (fractional coordinates):
Ru 0.2500 0.7500 0.5000  2 Cd 2.67, 4 Sr 2.89
Sr 0.4583 0.1250 0.2500  2 Ru 2.89
Sr 0.8750 0.7083 0.7500  2 Ru 2.89
Cd 0.7500 0.2500 0.5000  2 Ru 2.67
Cd 0.0000 0.0000 0.0000  2 Ru 2.67
Sr 0.2917 0.6250 0.2500  2 Ru 2.89
Ru 0.5000 0.5000 0.0000  2 Cd 2.67, 4 Sr 2.89
Sr 0.3750 0.5417 0.7500  2 Ru 2.89



Record 10
This record from Alexandria via LeMat-Bulk describes a geometry-optimized SrCdRu structure. The functional is GGA-PBE.

Unit cell a=3.4337 b=3.4337 c=7.1435 alpha=90.00 beta=90.00 gamma=120.00
With the nearest neighbours (Å) after each atom.
Atoms (fractional coordinates):
Ru 0.6667 0.3333 0.3231  3 Cd 2.79, 3 Sr 2.95
Cd 0.0000 0.0000 0.0474  3 Ru 2.79
Sr 0.3333 0.6667 0.6295  3 Ru 2.95



Record 11
This record from Alexandria via LeMat-Bulk describes a geometry-optimized SrCdRu3 structure. The functional is GGA-PBE.

## Properties
Offset from the most stable computed form ... 0.00 eV per formula unit

Unit cell a=5.0122 b=5.0122 c=5.0122 alpha=90.00 beta=90.00 gamma=90.00
With the nearest neighbours (Å) after each atom.
Atoms (fractional coordinates):
Ru 0.5000 0.0000 0.0000  2 Cd 2.51
Sr 0.5000 0.5000 0.5000  12 Ru 3.54
Ru 0.0000 0.5000 0.0000  2 Cd 2.51
Ru 0.0000 0.0000 0.5000  2 Cd 2.51
Cd 0.0000 0.0000 0.0000  6 Ru 2.51



Record 12
This record from Alexandria via LeMat-Bulk describes a geometry-optimized SrTaCd2Ru structure. The functional is GGA-PBE.

Unit cell a=5.2940 b=4.7459 c=5.2940 alpha=90.00 beta=90.00 gamma=90.00
With the nearest neighbours (Å) after each atom.
Atoms (fractional coordinates):
Cd 0.0000 0.0000 0.5000  2 Ru 2.65
Sr 0.5000 0.5000 0.5000  8 Cd 3.55, 4 Ta 3.74
Ta 0.0000 0.5000 0.0000  2 Ru 2.37
Cd 0.5000 0.0000 0.0000  2 Ru 2.65
Ru 0.0000 0.0000 0.0000  2 Ta 2.37, 4 Cd 2.65



Computed DFT formation energy, in the same sequence as the records: 0.339, 0.230, 1.177, 0.508, 0.198, 0.199, 0.403, 0.211, 0.309, 0.616, 1.596, 0.347 eV per atom.